# HoCd4Hg7 (PBE-GGA, optimized geometry)
# volume: 24.3 A^3/atom
# DOS at the Fermi energy: 4.3 states/eV/cell
# energy relative to the elements: -8.72 kJ/mol of atoms
# excess energy over the best structure of this formula in the dataset: 0.00 eV per formula unit
data_HoCd4Hg7
_cell_length_a 5.998
_cell_length_b 6.399
_cell_length_c 7.918
_cell_angle_alpha 102.37
_cell_angle_beta 91.84
_cell_angle_gamma 99.42
_space_group_name_H-M_alt 'P -1'
_space_group_IT_number 2
_space_group_name_Hall '-P 1'
loop_
_atom_site_label
_atom_site_fract_x
_atom_site_fract_y
_atom_site_fract_z
Ho1 0.000 0.000 0.000
Cd1 0.250 0.245 0.685
Cd2 0.317 0.418 0.343
Hg1 0.000 0.500 0.000
Hg2 0.184 0.735 0.659
Hg3 0.262 0.919 0.333
Hg4 0.488 0.755 0.988